# TmGa2 | Alexandria | GGA-PBEsol | optimized geometry
data_TmGa2
_cell_length_a 5.6505
_cell_length_b 5.6505
_cell_length_c 5.6505
_cell_angle_alpha 136.91
_cell_angle_beta 106.17
_cell_angle_gamma 89.49
_symmetry_space_group_name_H-M 'P 1'
_symmetry_Int_Tables_number 1
loop_
_symmetry_equiv_pos_as_xyz
'x,y,z'
loop_
_atom_site_label
_atom_site_type_symbol
_atom_site_fract_x
_atom_site_fract_y
_atom_site_fract_z
_atom_site_occupancy
Tm1 Tm 0.3104 0.0604 0.2500 1
Tm2 Tm 0.6896 0.9396 0.7500 1
Ga1 Ga 0.1090 0.6601 0.4490 1
Ga2 Ga 0.2889 0.3399 0.9490 1
Ga3 Ga 0.7111 0.6601 0.0510 1
Ga4 Ga 0.8910 0.3399 0.5510 1
# formation energy = -664 meV per atom
# total magnetic moment = 0.00 μB per atom